# Na3AlS3

A relaxed structure of Na3AlS3 (GGA-PBE, the Alexandria database).

Output
E: -4.05 eV/atom
total magnetization: 0.000 μB/atom
excess energy over the best structure of this formula in the dataset: 0.012 eV per atom
raw formation energy: -1.18 eV per atom

a = 7.743 Å, b = 12.203 Å, c = 6.904 Å
α = 90.00°, β = 99.85°, γ = 90.00°
Space group C2/m (No. 12)
Unique sites:
Na1 0.000 0.181 0.000 (multiplicity 4)
Na2 0.000 0.249 0.500 (multiplicity 4)
Na3 0.104 0.500 0.858 (multiplicity 4)
Al1 0.177 0.000 0.644 (multiplicity 4)
S1 0.109 0.000 0.305 (multiplicity 4)
S2 0.192 0.349 0.229 (multiplicity 8)